Ba2TcPb | the Alexandria database | PBE | relaxed; ΔH_f (0 K) = 0.528 eV/atom; total moment = 2.65 μB per formula unit; space group = I4/mmm (139)
1.0
-2.617 2.617 4.939
2.617 -2.617 4.939
2.617 2.617 -4.939
Ba Tc Pb
2 1 1
Direct
0.250 0.750 0.500
0.750 0.250 0.500
0.000 0.000 0.000
0.500 0.500 0.000

---

Ba2TcPb | the Alexandria database | PBE | relaxed; ΔH_f (0 K) = 0.641 eV/atom; total moment = 2.32 μB per formula unit; space group = C2/m (12)
1.0
3.944 -1.792 0.000
3.944 1.792 0.000
-1.286 0.000 10.113
Ba Tc Pb
2 1 1
Direct
0.245 0.245 0.217
0.755 0.755 0.783
0.500 0.500 0.000
0.000 0.000 0.500

---

BaTcPb2 | the Alexandria database | PBE | relaxed; ΔH_f (0 K) = 0.610 eV/atom; total moment = 2.51 μB per formula unit; space group = C2/m (12)
1.0
3.313 -5.116 0.000
3.313 5.116 0.000
-0.031 0.000 3.424
Ba Tc Pb
1 1 2
Direct
0.000 0.000 0.000
0.500 0.500 0.000
0.000 0.500 0.500
0.500 0.000 0.500

---

BaTcPb2 | the Alexandria database | PBE | relaxed; ΔH_f (0 K) = 0.324 eV/atom; total moment = 0.00 μB per formula unit; space group = Pm (6)
1.0
5.310 0.000 0.000
0.000 4.411 0.000
-2.643 0.000 6.305
Ba Tc Pb
1 1 2
Direct
0.000 0.000 0.000
0.812 0.500 0.621
0.339 0.500 0.676
0.692 0.000 0.386

---

Ba4TcPb | the Alexandria database | PBE | relaxed; ΔH_f (0 K) = 0.897 eV/atom; total moment = 2.75 μB per formula unit; space group = F-43m (216)
1.0
0.000 5.028 5.028
5.028 0.000 5.028
5.028 5.028 0.000
Ba Tc Pb
4 1 1
Direct
0.125 0.125 0.125
0.125 0.125 0.625
0.125 0.625 0.125
0.625 0.125 0.125
0.500 0.500 0.500
0.750 0.750 0.750

---

BaTcPb2 | the Alexandria database | PBE | relaxed; ΔH_f (0 K) = 0.301 eV/atom; total moment = 0.57 μB per formula unit; space group = Immm (71)
1.0
-1.729 3.100 5.475
1.729 -3.100 5.475
1.729 3.100 -5.475
Ba Tc Pb
1 1 2
Direct
0.000 0.000 0.000
0.500 0.500 0.000
0.297 0.797 0.500
0.703 0.203 0.500

---

Ba2TcPb | the Alexandria database | PBE | relaxed; ΔH_f (0 K) = 0.340 eV/atom; total moment = 0.00 μB per formula unit; space group = P4mm (99)
1.0
3.802 0.000 0.000
0.000 3.802 0.000
0.000 0.000 9.806
Ba Tc Pb
2 1 1
Direct
0.000 0.000 0.000
0.500 0.500 0.426
0.500 0.500 0.771
0.000 0.000 0.658

---

Ba2TcPb | the Alexandria database | PBE | relaxed; ΔH_f (0 K) = 0.667 eV/atom; total moment = 2.76 μB per formula unit; space group = R-3m (166)
1.0
2.068 1.194 10.208
-2.068 1.194 10.208
0.000 -2.388 10.208
Ba Tc Pb
2 1 1
Direct
0.239 0.239 0.239
0.761 0.761 0.761
0.500 0.500 0.500
0.000 0.000 0.000

---

BaTcPb | the Alexandria database | PBE | relaxed; ΔH_f (0 K) = 0.485 eV/atom; total moment = 0.77 μB per formula unit; space group = P-6m2 (187)
1.0
4.727 0.000 0.000
-2.363 4.094 0.000
0.000 0.000 4.970
Ba Tc Pb
1 1 1
Direct
0.000 0.000 0.000
0.333 0.667 0.500
0.667 0.333 0.500

---

BaTcPb2 | the Alexandria database | PBE | relaxed; ΔH_f (0 K) = 0.548 eV/atom; total moment = 2.76 μB per formula unit; space group = P4/mmm (123)
1.0
4.850 0.000 0.000
0.000 4.850 0.000
0.000 0.000 4.999
Ba Tc Pb
1 1 2
Direct
0.000 0.000 0.000
0.500 0.500 0.000
0.000 0.500 0.500
0.500 0.000 0.500

---

BaTcPb2 | the Alexandria database | PBE | relaxed; ΔH_f (0 K) = 0.479 eV/atom; total moment = 0.63 μB per formula unit; space group = Fm-3m (225)
1.0
0.000 3.775 3.775
3.775 0.000 3.775
3.775 3.775 0.000
Ba Tc Pb
1 1 2
Direct
0.000 0.000 0.000
0.500 0.500 0.500
0.250 0.250 0.250
0.750 0.750 0.750

---

BaTcPb4 | the Alexandria database | PBE | relaxed; ΔH_f (0 K) = 0.498 eV/atom; total moment = 3.59 μB per formula unit; space group = F-43m (216)
1.0
0.000 4.612 4.612
4.612 0.000 4.612
4.612 4.612 0.000
Ba Tc Pb
1 1 4
Direct
0.000 0.000 0.000
0.250 0.250 0.250
0.127 0.624 0.624
0.624 0.127 0.624
0.624 0.624 0.127
0.624 0.624 0.624